# BPbOF2 (SCAN, PBEsol geometry)
# calculated total energy	-103.6	eV for the cell shown
data_BPbOF2
_chemical_formula_sum 'B1 Pb1 O1 F2'
_cell_length_a 4.636
_cell_length_b 4.636
_cell_length_c 2.747
_cell_angle_alpha 90.00
_cell_angle_beta 90.00
_cell_angle_gamma 90.00
_symmetry_space_group_name_H-M 'P 4/m m m'
_symmetry_Int_Tables_number 123
_symmetry_space_group_name_Hall '-P 4 2'
loop_
_atom_site_label
_atom_site_fract_x
_atom_site_fract_y
_atom_site_fract_z
B1 0.000 0.000 0.000
Pb1 0.500 0.500 0.500
O1 0.000 0.000 0.500
F1 0.000 0.500 0.000

***

# B9Pb8O21F (SCAN, PBEsol geometry)
# calculated total energy	-5339.4	eV for the cell shown
data_B9Pb8O21F
_chemical_formula_sum 'B54 Pb48 O126 F6'
_cell_length_a 9.7554
_cell_length_b 9.7554
_cell_length_c 38.3251
_cell_angle_alpha 90.00
_cell_angle_beta 90.00
_cell_angle_gamma 120.00
_symmetry_space_group_name_H-M 'R -3 c'
_symmetry_Int_Tables_number 167
_symmetry_space_group_name_Hall '-R 3 2"c'
loop_
_atom_site_label
_atom_site_fract_x
_atom_site_fract_y
_atom_site_fract_z
B1 0.0000 0.1528 0.2500
B2 0.0363 0.4225 0.5350
Pb1 0.0000 0.0000 0.1645
Pb2 0.0093 0.2566 0.4595
O1 0.0000 0.1450 0.7500
O2 0.0179 0.2524 0.2189
O3 0.0290 0.4376 0.3213
O4 0.0838 0.2249 0.3729
F1 0.0000 0.0000 0.0000

***

# Pr4B4O11F2 (SCAN, PBEsol geometry)
# calculated total energy	-1402.1	eV for the cell shown
data_Pr4B4O11F2
_chemical_formula_sum 'Pr16 B16 O44 F8'
_cell_length_a 13.882
_cell_length_b 4.714
_cell_length_c 13.982
_cell_angle_alpha 90.00
_cell_angle_beta 91.04
_cell_angle_gamma 90.00
_symmetry_space_group_name_H-M 'C 1 2/c 1'
_symmetry_Int_Tables_number 15
loop_
_symmetry_equiv_pos_as_xyz
'x,y,z'
'-x,-y,-z'
'-x,y,-z+1/2'
'x,-y,z+1/2'
'x+1/2,y+1/2,z'
'-x+1/2,-y+1/2,-z'
'-x+1/2,y+1/2,-z+1/2'
'x+1/2,-y+1/2,z+1/2'
loop_
_atom_site_label
_atom_site_fract_x
_atom_site_fract_y
_atom_site_fract_z
Pr1 0.059 0.026 0.370
Pr2 0.221 0.022 0.128
B1 0.092 0.481 0.214
B2 0.094 0.449 0.527
O1 0.000 0.359 0.250
O2 0.080 0.162 0.538
O3 0.088 0.376 0.108
O4 0.100 0.220 0.725
O5 0.112 0.446 0.938
O6 0.171 0.318 0.257
F1 0.230 0.020 0.425

***

# BSbO2F (SCAN, PBEsol geometry)
# calculated total energy	-61.7	eV for the cell shown
data_BSbO2F
_chemical_formula_sum 'B1 Sb1 O2 F1'
_cell_length_a 4.032
_cell_length_b 4.032
_cell_length_c 4.234
_cell_angle_alpha 90.00
_cell_angle_beta 90.00
_cell_angle_gamma 90.00
_symmetry_space_group_name_H-M 'P 4/m m m'
_symmetry_Int_Tables_number 123
_symmetry_space_group_name_Hall '-P 4 2'
loop_
_atom_site_label
_atom_site_fract_x
_atom_site_fract_y
_atom_site_fract_z
B1 0.000 0.000 0.000
Sb1 0.500 0.500 0.500
O1 0.000 0.500 0.500
F1 0.500 0.500 0.000

***

ΔE_f (raw) values, unit meV per atom, following the record order: -1417.8 -2112.5 -3422.5 -206.8.
Ρ values, unit kg/m³, following the record order: 7649 6655 5960 4429.
Spin magnetization values, unit Bohr magnetons per cell, following the record order: 0.001 0.000 0.000 0.000.